A plane-wave DFT calculation with PBE was carried out for a relaxed structure of NaCaNb.

```
12
Lattice="-3.633 0.249 -2.990 -3.077 -3.778 3.424 -4.468 9.257 6.200" Properties=species:S:1:pos:R:3 pbc="T T T"
Na -7.163 6.835 3.694
Na -6.459 0.317 2.313
Na -4.015 -1.107 2.939
Na -4.720 5.412 4.320
Nb -2.960 1.774 1.886
Nb -6.731 4.513 6.699
Nb -8.218 3.954 4.746
Nb -4.447 1.215 -0.066
Ca -5.648 3.702 1.598
Ca -9.418 6.441 6.412
Ca -5.531 2.027 5.035
Ca -1.761 -0.713 0.221
```

Electronic total energy   -3.87 eV per atom
Formation energy from the elements   58 kJ per mole of atoms